1.
# VCuSn2Hg, relaxed, DFT GGA-PBE
data_VCuSn2Hg
_cell_length_a 4.953
_cell_length_b 4.953
_cell_length_c 4.793
_cell_angle_alpha 90.00
_cell_angle_beta 90.00
_cell_angle_gamma 90.00
_symmetry_space_group_name_H-M 'P 4/m m m'
_symmetry_Int_Tables_number 123
_symmetry_space_group_name_Hall '-P 4 2'
loop_
_atom_site_label
_atom_site_type_symbol
_atom_site_fract_x
_atom_site_fract_y
_atom_site_fract_z
V1 V 0.000 0.000 0.000
Cu1 Cu 0.000 0.000 0.500
Sn1 Sn 0.000 0.500 0.500
Hg1 Hg 0.500 0.500 0.000
# **E_form**: 3.6 eV/f.u.
# **Raw total energy**: -3.586 eV per atom

---

2.
# TiZnTc2H, relaxed, DFT GGA-PBE
data_TiZnTc2H
_cell_length_a 3.954
_cell_length_b 3.954
_cell_length_c 3.888
_cell_angle_alpha 90.00
_cell_angle_beta 90.00
_cell_angle_gamma 90.00
_symmetry_space_group_name_H-M 'P 4/m m m'
_symmetry_Int_Tables_number 123
_symmetry_space_group_name_Hall '-P 4 2'
loop_
_atom_site_label
_atom_site_type_symbol
_atom_site_fract_x
_atom_site_fract_y
_atom_site_fract_z
Ti1 Ti 0.000 0.000 0.000
Zn1 Zn 0.500 0.500 0.000
Tc1 Tc 0.000 0.500 0.500
H1 H 0.000 0.000 0.500
# **Raw total energy**: -6.773 eV per atom